Below is an optimized crystal structure of Pm3Sm2Ho8, with properties calculated at the GGA-PBE level.

## Properties
Density (kg/m3): 7785
Space-group type: C2/m, No. 12
DFT total energy (eV per atom): -4.39
Polymorph energy (0 for the lowest one) (eV/atom): 0.017

a b c (Å): 5.609 7.675 10.884
angles (deg): 110.64 90.03 90.00
Atoms (fractional coordinates):
Ho  0.500  0.602  0.784
Ho  0.500  0.398  0.216
Ho  0.000  0.868  0.735
Ho  0.000  0.132  0.265
Sm  0.499  0.241  0.483
Sm  0.501  0.759  0.517
Pm  0.000  0.292  0.000
Ho  0.999  0.333  0.666
Pm  0.000  0.708  0.000
Pm  0.500  0.000  0.000
Ho  0.500  0.819  0.216
Ho  0.001  0.667  0.334
Ho  0.500  0.181  0.784

=====

Below is an optimized crystal structure of Pm2Sm5Ho3, with properties calculated at the GGA-PBE level.

## Properties
Density (kg/m3): 7226
Space-group type: Ibam, No. 72
DFT total energy (eV per atom): -4.30
Polymorph energy (0 for the lowest one) (eV/atom): 0.189

a b c (Å): 6.859 12.388 12.388
angles (deg): 44.68 73.93 73.93
Atoms (fractional coordinates):
Sm  0.501  0.249  0.249
Ho  0.121  0.127  0.630
Sm  0.750  0.500  0.500
Sm  0.626  0.280  0.469
Sm  0.250  0.500  0.500
Sm  0.001  0.249  0.249
Sm  0.374  0.720  0.531
Sm  0.499  0.751  0.751
Sm  0.874  0.531  0.720
Ho  0.879  0.873  0.370
Pm  0.123  0.778  0.976
Pm  0.877  0.222  0.024
Pm  0.623  0.976  0.778
Pm  0.377  0.024  0.222
Ho  0.379  0.370  0.873
Ho  0.250  0.000  0.000
Ho  0.750  0.000  0.000
Sm  0.999  0.751  0.751
Sm  0.126  0.469  0.280
Ho  0.621  0.630  0.127

=====

- Which of these has the lowest DFT total energy?
  Pm3Sm2Ho8

=====

What did the second record say?
Below is an optimized crystal structure of Pm2Sm5Ho3, with properties calculated at the GGA-PBE level.

## Properties
Density (kg/m3): 7226
Space-group type: Ibam, No. 72
DFT total energy (eV per atom): -4.30
Polymorph energy (0 for the lowest one) (eV/atom): 0.189

a b c (Å): 6.859 12.388 12.388
angles (deg): 44.68 73.93 73.93
Atoms (fractional coordinates):
Sm  0.501  0.249  0.249
Ho  0.121  0.127  0.630
Sm  0.750  0.500  0.500
Sm  0.626  0.280  0.469
Sm  0.250  0.500  0.500
Sm  0.001  0.249  0.249
Sm  0.374  0.720  0.531
Sm  0.499  0.751  0.751
Sm  0.874  0.531  0.720
Ho  0.879  0.873  0.370
Pm  0.123  0.778  0.976
Pm  0.877  0.222  0.024
Pm  0.623  0.976  0.778
Pm  0.377  0.024  0.222
Ho  0.379  0.370  0.873
Ho  0.250  0.000  0.000
Ho  0.750  0.000  0.000
Sm  0.999  0.751  0.751
Sm  0.126  0.469  0.280
Ho  0.621  0.630  0.127

=====

- polymorph energy (0 for the lowest one) of number 1 (Pm3Sm2Ho8)?
  0.017 eV/atom

=====

- Which value of DFT total energy does entry 2 give?
  -4.30 eV per atom